Compound: Sr3WCl
Source: the Alexandria database
Functional: PBE-GGA
Structure: relaxed

a = 5.8396 Å, b = 5.8396 Å, c = 5.8396 Å
α = 90.00°, β = 90.00°, γ = 90.00°
Positions (direct):
Sr1 0.0000 0.0000 0.5000
Sr2 0.5000 0.0000 0.0000
Sr3 0.0000 0.5000 0.0000
W1 0.0000 0.0000 0.0000
Cl1 0.5000 0.5000 0.5000

Values from the calculation:
**Raw total energy**: -16.99 eV/cell

***

Compound: AgTeBr2
Source: the Alexandria database
Functional: PBE-GGA
Structure: relaxed

a = 4.0500 Å, b = 8.1103 Å, c = 4.1026 Å
α = 90.00°, β = 90.00°, γ = 90.00°
Positions (direct):
Br1 0.0000 0.0000 0.0000
Ag1 0.0000 0.5000 0.5000
Br2 0.5000 0.5000 0.0000
Te1 0.5000 0.0000 0.5000

Values from the calculation:
**Raw total energy**: -9.15 eV/cell

***

In order of appearance, Fermi-level density of states = 5.56; 1.17 states/eV/cell.